DFT (PBE) results for NdY2Th3Te6 after structural relaxation.

a = 4.308 Å, b = 9.160 Å, c = 10.183 Å
α = 109.03°, β = 102.21°, γ = 90.00°
Fractional coordinates of all 12 atoms:
Te  0.332  0.913  0.664
Te  0.006  0.251  0.011
Te  0.670  0.571  0.339
Te  0.994  0.749  0.989
Te  0.668  0.087  0.336
Te  0.330  0.429  0.661
Th  0.500  0.500  0.000
Th  0.838  0.176  0.676
Th  0.162  0.824  0.324
Nd  0.500  0.000  0.000
Y  0.167  0.327  0.333
Y  0.833  0.673  0.667

uncorrected formation energy	-14.0	eV per formula unit
E	-6.067	eV per atom

---

DFT (PBE) results for SrCrAs2Se after structural relaxation.

a = 4.618 Å, b = 4.618 Å, c = 5.687 Å
α = 90.00°, β = 90.00°, γ = 90.00°
Fractional coordinates of all 5 atoms:
Cr  0.000  0.000  0.000
As  0.000  0.500  0.000
As  0.500  0.000  0.000
Sr  0.500  0.500  0.500
Se  0.000  0.000  0.500

excess energy over the best structure of this formula in the dataset	0.0	meV/atom
uncorrected formation energy	-2.4	eV per formula unit
E	-5.291	eV per atom

---

DFT (PBE) results for CuBiSeBr2 after structural relaxation.

a = 4.923 Å, b = 4.923 Å, c = 5.060 Å
α = 90.00°, β = 90.00°, γ = 90.00°
Fractional coordinates of all 5 atoms:
Br  0.000  0.500  0.000
Br  0.500  0.000  0.000
Bi  0.500  0.500  0.500
Cu  0.000  0.000  0.000
Se  0.000  0.000  0.500

excess energy over the best structure of this formula in the dataset	0.0	meV/atom
uncorrected formation energy	0.1	eV per formula unit
E	-2.949	eV per atom